Material: Dy8Tm2Mg
Method: DFT, PBE-GGA
State: relaxed

## Properties
As for the calculated total energy: -3.887 eV/atom. The calculation puts the density at 7.36 g/cm3. The calculation puts the total magnetization at 0.0 μB per formula unit. The formation energy is 418 meV per atom.

Cell lengths 5.8378, 8.1953, 8.1953 Å; angles 85.00, 78.19, 78.19 degrees
Closest atoms and distances in Å follow each position.
Element x y z (fractional)
Dy  0.8046  0.1467  0.6638  1 Mg 3.24, 3 Dy 3.27-3.55, 1 Tm 3.29
Dy  0.1954  0.3362  0.8533  1 Mg 3.24, 3 Dy 3.27-3.55, 1 Tm 3.29
Dy  0.8943  0.2692  0.2692  1 Mg 3.14, 2 Tm 3.21-3.43, 3 Dy 3.27-3.30
Dy  0.1057  0.7308  0.7308  1 Mg 3.14, 2 Tm 3.21-3.43, 3 Dy 3.27-3.30
Dy  0.8046  0.6638  0.1467  1 Mg 3.24, 3 Dy 3.27-3.55, 1 Tm 3.29
Dy  0.1954  0.8533  0.3362  1 Mg 3.24, 3 Dy 3.27-3.55, 1 Tm 3.29
Dy  0.2858  0.4203  0.4203  7 Dy 3.30-3.60, 1 Tm 3.34
Dy  0.7142  0.5797  0.5797  7 Dy 3.30-3.60, 1 Tm 3.34
Tm  0.4938  0.1334  0.1334  1 Mg 2.95, 1 Tm 3.20, 3 Dy 3.21-3.29
Tm  0.5062  0.8666  0.8666  1 Mg 2.95, 1 Tm 3.20, 3 Dy 3.21-3.29
Mg  0.0000  0.0000  0.0000  2 Tm 2.95, 6 Dy 3.14-3.24

Material: Li2ReNi
Method: DFT, PBE-GGA
State: relaxed

## Properties
As for the calculated total energy: -5.065 eV/atom. The calculation puts the density at 8.18 g/cm3. The calculation puts the total magnetization at 1.2 μB per formula unit. The formation energy is 449 meV per atom.

Cell lengths 4.3921, 3.4582, 3.4582 Å; angles 90.00, 90.00, 90.00 degrees
Closest atoms and distances in Å follow each position.
Element x y z (fractional)
Li  0.0000  0.0000  0.0000  4 Li 2.45
Li  0.0000  0.5000  0.5000  4 Li 2.45
Ni  0.5000  0.5000  0.0000  4 Re 2.45
Re  0.5000  0.0000  0.5000  4 Ni 2.45

Copy entry 2 word for word.
Material: Li2ReNi
Method: DFT, PBE-GGA
State: relaxed

## Properties
As for the calculated total energy: -5.065 eV/atom. The calculation puts the density at 8.18 g/cm3. The calculation puts the total magnetization at 1.2 μB per formula unit. The formation energy is 449 meV per atom.

Cell lengths 4.3921, 3.4582, 3.4582 Å; angles 90.00, 90.00, 90.00 degrees
Closest atoms and distances in Å follow each position.
Element x y z (fractional)
Li  0.0000  0.0000  0.0000  4 Li 2.45
Li  0.0000  0.5000  0.5000  4 Li 2.45
Ni  0.5000  0.5000  0.0000  4 Re 2.45
Re  0.5000  0.0000  0.5000  4 Ni 2.45

Repeat the second record exactly.
Material: Li2ReNi
Method: DFT, PBE-GGA
State: relaxed

## Properties
As for the calculated total energy: -5.065 eV/atom. The calculation puts the density at 8.18 g/cm3. The calculation puts the total magnetization at 1.2 μB per formula unit. The formation energy is 449 meV per atom.

Cell lengths 4.3921, 3.4582, 3.4582 Å; angles 90.00, 90.00, 90.00 degrees
Closest atoms and distances in Å follow each position.
Element x y z (fractional)
Li  0.0000  0.0000  0.0000  4 Li 2.45
Li  0.0000  0.5000  0.5000  4 Li 2.45
Ni  0.5000  0.5000  0.0000  4 Re 2.45
Re  0.5000  0.0000  0.5000  4 Ni 2.45